Record 1
DFT (GGA-PBE) results for crystalline Ba12Bi3Pt5 at its relaxed geometry.

```
Ba12Bi3Pt5
1.0
-9.767 9.767 9.767
9.767 -9.767 9.767
9.767 9.767 -9.767
Ba Bi Pt
48 12 20
Cartesian
2.929 -0.519 1.177
11.721 6.060 -5.402
12.695 0.519 1.177
11.721 -3.706 5.402
9.248 -1.177 2.929
15.169 -1.955 3.706
1.177 2.929 -0.519
13.473 4.365 -1.955
6.060 5.402 -1.955
8.590 2.929 0.519
-0.519 1.177 2.929
5.402 -1.955 6.060
9.248 8.590 -2.929
5.402 1.955 3.706
6.060 -5.402 11.721
8.590 -2.929 9.248
3.706 5.402 1.955
10.944 6.838 0.519
5.402 11.721 -3.706
9.248 1.177 6.838
2.929 9.248 -1.177
11.721 3.706 4.365
1.955 3.706 5.402
2.929 0.519 8.590
6.838 9.248 1.177
7.812 6.060 4.365
-1.955 6.060 5.402
6.838 0.519 10.944
0.519 8.590 2.929
4.365 -1.955 13.473
-1.177 2.929 9.248
6.060 4.365 7.812
1.177 12.695 0.519
3.706 15.169 -1.955
4.365 7.812 6.060
0.519 1.177 12.695
4.365 11.721 3.706
10.285 8.590 6.838
1.177 6.838 9.248
3.706 4.365 11.721
-3.706 5.402 11.721
8.590 6.838 10.285
-5.402 11.721 6.060
0.519 10.944 6.838
-1.955 13.473 4.365
-2.929 9.248 8.590
-1.955 3.706 15.169
6.838 10.285 8.590
4.883 2.442 0.000
9.767 4.883 -2.442
2.442 0.000 4.883
12.208 0.000 4.883
0.000 4.883 2.442
4.883 -2.442 9.767
4.883 12.208 0.000
9.767 4.883 7.325
-2.442 9.767 4.883
7.325 9.767 4.883
0.000 4.883 12.208
4.883 7.325 9.767
0.000 0.000 0.000
4.883 4.883 -4.883
4.883 -4.883 4.883
9.767 0.000 0.000
14.650 2.442 0.000
9.767 -4.883 7.325
7.325 9.767 -4.883
7.325 0.000 4.883
4.883 7.325 0.000
9.767 4.883 2.442
-4.883 4.883 4.883
0.000 9.767 0.000
0.000 0.000 9.767
4.883 4.883 4.883
0.000 4.883 7.325
4.883 2.442 9.767
2.442 9.767 4.883
2.442 0.000 14.650
0.000 14.650 2.442
-4.883 7.325 9.767
```

Computed properties:
The calculation puts the density of states at the Fermi level at 63.76 states/eV/cell. Its space-group type is Ia-3d. For the calculated volume, the calculation gives 46.58 Å³/atom.



Record 2
DFT (GGA-PBE) results for crystalline Ba3BiPt at its relaxed geometry.

```
Ba3BiPt
1.0
6.066 0.000 0.000
0.000 6.066 0.000
0.000 0.000 6.066
Ba Bi Pt
3 1 1
Cartesian
0.000 0.000 3.033
0.000 3.033 0.000
3.033 0.000 0.000
3.033 3.033 3.033
0.000 0.000 0.000
```

Computed properties:
The calculation puts the density of states at the Fermi level at 3.50 states/eV/cell. Its space-group type is Pm-3m. For the calculated volume, the calculation gives 44.65 Å³/atom. For the relative energy among the computed polymorphs, the calculation gives 0.096 eV per atom.



Record 3
DFT (GGA-PBE) results for crystalline BaBi2Pt2 at its relaxed geometry.

```
BaBi2Pt2
1.0
-2.509 2.509 5.629
2.509 -2.509 5.629
2.509 2.509 -5.629
Ba Bi Pt
1 2 2
Cartesian
0.000 0.000 0.000
0.000 0.000 4.013
0.000 0.000 7.244
2.509 0.000 2.814
0.000 2.509 2.814
```

Computed properties:
The calculation puts the density of states at the Fermi level at 2.52 states/eV/cell. Its space-group type is I4/mmm. For the calculated volume, the calculation gives 28.36 Å³/atom.



Record 4
DFT (GGA-PBE) results for crystalline BaBi4Pt at its relaxed geometry.

```
BaBi4Pt
1.0
5.729 0.000 0.000
0.066 7.141 0.000
2.862 2.255 9.768
Ba Bi Pt
2 8 2
Cartesian
1.347 1.780 0.003
7.310 7.615 9.765
1.232 2.189 3.725
1.647 5.267 2.144
4.509 7.682 7.620
4.086 3.635 6.046
4.570 5.760 3.722
4.148 1.713 2.148
7.010 4.128 7.624
7.425 7.206 6.043
1.464 4.698 4.884
4.296 1.127 4.884
```

Computed properties:
The calculation puts the density of states at the Fermi level at 6.28 states/eV/cell. Its space-group type is P-1. For the calculated volume, the calculation gives 33.30 Å³/atom.



| no. | DFT formation energy (eV/atom) |
| --- | --- |
| 1 | -0.63 |
| 2 | -0.67 |
| 3 | -0.53 |
| 4 | -0.31 |